Run a
A plane-wave DFT calculation with PBE was carried out for a geometry-optimized MgTaMn structure.

Output
As for the mass density: 8.23 Mg/m³.

Cell: 6.851 6.851 6.851 Å, 156.16 156.16 33.96°
Fractional coordinates of all 3 atoms:
Mg (0.994, 0.994, 0.000)
Mn (0.327, 0.327, 0.000)
Ta (0.679, 0.679, 0.000)

***

Run b
A plane-wave DFT calculation with PBE was carried out for a geometry-optimized MgTaMn structure.

Output
As for the mass density: 8.25 Mg/m³.

Cell: 7.103 6.975 2.821 Å, 80.99 75.91 23.10°
Fractional coordinates of all 3 atoms:
Mn (0.327, 0.327, 0.673)
Ta (0.679, 0.679, 0.321)
Mg (0.994, 0.994, 0.006)

***

Least stable of them? run a.

***

Run a
A plane-wave DFT calculation with PBE was carried out for a geometry-optimized NaLa3Ir structure.

Output
As for the mass density: 5.88 Mg/m³.

Cell: 8.149 8.149 8.149 Å, 57.05 57.05 57.05°
Fractional coordinates of all 10 atoms:
La (0.629, 0.547, 0.086)
La (0.086, 0.629, 0.547)
La (0.371, 0.453, 0.914)
La (0.547, 0.086, 0.629)
La (0.453, 0.914, 0.371)
La (0.914, 0.371, 0.453)
Ir (0.331, 0.331, 0.331)
Ir (0.669, 0.669, 0.669)
Na (0.918, 0.918, 0.918)
Na (0.082, 0.082, 0.082)

***

Run b
A plane-wave DFT calculation with PBE was carried out for a geometry-optimized NaLa3Ir structure.

Output
As for the mass density: 5.69 Mg/m³.

Cell: 6.718 15.739 6.980 Å, 90.00 90.00 90.00°
Fractional coordinates of all 20 atoms:
La (0.999, 0.627, 0.933)
La (0.999, 0.873, 0.933)
La (0.501, 0.373, 0.433)
La (0.501, 0.250, 0.922)
La (0.001, 0.250, 0.578)
La (0.499, 0.750, 0.078)
La (0.499, 0.873, 0.567)
La (0.501, 0.127, 0.433)
La (0.001, 0.127, 0.067)
La (0.499, 0.627, 0.567)
La (0.001, 0.373, 0.067)
La (0.999, 0.750, 0.422)
Na (0.500, 0.500, 0.000)
Na (0.500, 0.000, 0.000)
Na (0.000, 0.500, 0.500)
Na (0.000, 0.000, 0.500)
Ir (0.749, 0.750, 0.750)
Ir (0.251, 0.250, 0.250)
Ir (0.249, 0.750, 0.750)
Ir (0.751, 0.250, 0.250)

***

Least stable of them? run a.